Record 1
# Sm5Ho6In (PBE-GGA, relaxed)
# Energy of formation, eV per atom: -0.05
# Spin magnetization, μB/atom: 0.000
# Volume, Å³ per atom: 31.19
data_Sm5Ho6In
_chemical_formula_sum 'Sm10 Ho12 In2'
_cell_length_a 4.9712
_cell_length_b 10.0214
_cell_length_c 15.0251
_cell_angle_alpha 90.00
_cell_angle_beta 90.00
_cell_angle_gamma 90.00
_space_group_name_H-M_alt 'I m m m'
_space_group_IT_number 71
_space_group_name_Hall '-I 2 2'
loop_
_atom_site_label
_atom_site_type_symbol
_atom_site_fract_x
_atom_site_fract_y
_atom_site_fract_z
Sm1 Sm 0.0000 0.0000 0.0000
Sm2 Sm 0.0000 0.0000 0.3328
Sm3 Sm 0.0000 0.5000 0.3370
Ho1 Ho 0.0000 0.2435 0.5000
Ho2 Ho 0.0000 0.2544 0.1651
In1 In 0.0000 0.5000 0.0000

Record 2
# TiCoTe2 (PBE-GGA, relaxed)
# Spin magnetization, μB/atom: 0.397
# Volume, Å³ per atom: 24.29
data_TiCoTe2
_chemical_formula_sum 'Ti3 Co3 Te6'
_cell_length_a 3.6328
_cell_length_b 3.6328
_cell_length_c 25.4997
_cell_angle_alpha 90.00
_cell_angle_beta 90.00
_cell_angle_gamma 120.00
_space_group_name_H-M_alt 'R -3 m'
_space_group_IT_number 166
_space_group_name_Hall '-R 3 2"'
loop_
_atom_site_label
_atom_site_type_symbol
_atom_site_fract_x
_atom_site_fract_y
_atom_site_fract_z
Ti1 Ti 0.0000 0.0000 0.0000
Co1 Co 0.0000 0.0000 0.5000
Te1 Te 0.0000 0.0000 0.4036

Record 3
# Tb4PrDy15 (PBE-GGA, relaxed)
# Energy of formation, eV per atom: 0.02
# Spin magnetization, μB/atom: 0.000
# Volume, Å³ per atom: 31.74
data_Tb4PrDy15
_chemical_formula_sum 'Tb4 Pr1 Dy15'
_cell_length_a 5.0271
_cell_length_b 5.0271
_cell_length_c 25.1200
_cell_angle_alpha 90.00
_cell_angle_beta 90.00
_cell_angle_gamma 90.00
_space_group_name_H-M_alt 'P 4/m m m'
_space_group_IT_number 123
_space_group_name_Hall '-P 4 2'
loop_
_atom_site_label
_atom_site_type_symbol
_atom_site_fract_x
_atom_site_fract_y
_atom_site_fract_z
Tb1 Tb 0.0000 0.0000 0.0996
Tb2 Tb 0.0000 0.0000 0.2990
Pr1 Pr 0.0000 0.0000 0.5000
Dy1 Dy 0.0000 0.5000 0.0000
Dy2 Dy 0.0000 0.5000 0.1992
Dy3 Dy 0.0000 0.5000 0.3983
Dy4 Dy 0.5000 0.5000 0.0997
Dy5 Dy 0.5000 0.5000 0.2986
Dy6 Dy 0.5000 0.5000 0.5000

Record 4
# Ba3Hg2Pb3 (PBE-GGA, relaxed)
# Energy of formation, eV per atom: -0.52
# Spin magnetization, μB/atom: 0.000
# Volume, Å³ per atom: 36.36
data_Ba3Hg2Pb3
_chemical_formula_sum 'Ba12 Hg8 Pb12'
_cell_length_a 5.3661
_cell_length_b 12.4103
_cell_length_c 17.4736
_cell_angle_alpha 90.00
_cell_angle_beta 90.00
_cell_angle_gamma 90.00
_space_group_name_H-M_alt 'C m c m'
_space_group_IT_number 63
_space_group_name_Hall '-C 2c 2'
loop_
_atom_site_label
_atom_site_type_symbol
_atom_site_fract_x
_atom_site_fract_y
_atom_site_fract_z
Ba1 Ba 0.0000 0.1008 0.1070
Ba2 Ba 0.0000 0.3715 0.2500
Hg1 Hg 0.0000 0.1920 0.6055
Pb1 Pb 0.0000 0.3338 0.7500
Pb2 Pb 0.0000 0.3792 0.0302

Record 5
# Ca2FeAgC (PBE-GGA, relaxed)
# Energy of formation, eV per atom: 0.01
# Spin magnetization, μB/atom: 0.264
# Volume, Å³ per atom: 19.82
data_Ca2FeAgC
_chemical_formula_sum 'Ca2 Fe1 Ag1 C1'
_cell_length_a 5.1794
_cell_length_b 5.1794
_cell_length_c 3.6944
_cell_angle_alpha 90.00
_cell_angle_beta 90.00
_cell_angle_gamma 90.00
_space_group_name_H-M_alt 'P 4/m m m'
_space_group_IT_number 123
_space_group_name_Hall '-P 4 2'
loop_
_atom_site_label
_atom_site_type_symbol
_atom_site_fract_x
_atom_site_fract_y
_atom_site_fract_z
Ca1 Ca 0.0000 0.5000 0.0000
Fe1 Fe 0.0000 0.0000 0.5000
Ag1 Ag 0.5000 0.5000 0.5000
C1 C 0.0000 0.0000 0.0000

Record 6
# CrReB (PBE-GGA, relaxed)
# Energy of formation, eV per atom: 0.24
# Spin magnetization, μB/atom: 0.000
# Volume, Å³ per atom: 12.12
data_CrReB
_chemical_formula_sum 'Cr2 Re2 B2'
_cell_length_a 3.2713
_cell_length_b 3.2713
_cell_length_c 7.8437
_cell_angle_alpha 90.00
_cell_angle_beta 90.00
_cell_angle_gamma 120.00
_space_group_name_H-M_alt 'P -3 m 1'
_space_group_IT_number 164
_space_group_name_Hall '-P 3 2"'
loop_
_atom_site_label
_atom_site_type_symbol
_atom_site_fract_x
_atom_site_fract_y
_atom_site_fract_z
Cr1 Cr 0.3333 0.6667 0.0883
Re1 Re 0.0000 0.0000 0.3413
B1 B 0.3333 0.6667 0.7945

Record 7
# CaTiF5 (PBE-GGA, relaxed)
# Spin magnetization, μB/atom: 0.143
# Volume, Å³ per atom: 15.40
data_CaTiF5
_chemical_formula_sum 'Ca4 Ti4 F20'
_cell_length_a 9.1676
_cell_length_b 6.6803
_cell_length_c 7.7589
_cell_angle_alpha 90.00
_cell_angle_beta 114.85
_cell_angle_gamma 90.00
_space_group_name_H-M_alt 'C 1 2/c 1'
_space_group_IT_number 15
loop_
_space_group_symop_operation_xyz
'x,y,z'
'-x,-y,-z'
'-x,y,-z+1/2'
'x,-y,z+1/2'
'x+1/2,y+1/2,z'
'-x+1/2,-y+1/2,-z'
'-x+1/2,y+1/2,-z+1/2'
'x+1/2,-y+1/2,z+1/2'
loop_
_atom_site_label
_atom_site_type_symbol
_atom_site_fract_x
_atom_site_fract_y
_atom_site_fract_z
Ca1 Ca 0.0000 0.0408 0.2500
Ti1 Ti 0.0000 0.5000 0.0000
F1 F 0.0000 0.4044 0.2500
F2 F 0.0110 0.1991 0.9691
F3 F 0.2285 0.4798 0.6183

Record 8
# AlTlMo (PBE-GGA, relaxed)
# Energy of formation, eV per atom: 0.43
# Spin magnetization, μB/atom: 0.000
# Volume, Å³ per atom: 18.77
data_AlTlMo
_chemical_formula_sum 'Al2 Tl2 Mo2'
_cell_length_a 3.0568
_cell_length_b 3.7089
_cell_length_c 9.9357
_cell_angle_alpha 90.00
_cell_angle_beta 90.00
_cell_angle_gamma 90.00
_space_group_name_H-M_alt 'I m m 2'
_space_group_IT_number 44
loop_
_space_group_symop_operation_xyz
'x,y,z'
'-x,-y,z'
'-x,y,z'
'x,-y,z'
'x+1/2,y+1/2,z+1/2'
'-x+1/2,-y+1/2,z+1/2'
'-x+1/2,y+1/2,z+1/2'
'x+1/2,-y+1/2,z+1/2'
loop_
_atom_site_label
_atom_site_type_symbol
_atom_site_fract_x
_atom_site_fract_y
_atom_site_fract_z
Al1 Al 0.0000 0.0000 0.0000
Tl1 Tl 0.0000 0.0000 0.3025
Mo1 Mo 0.0000 0.0000 0.6137

Record 9
# KYW4 (PBE-GGA, relaxed)
# Energy of formation, eV per atom: 0.95
# Spin magnetization, μB/atom: 0.000
# Volume, Å³ per atom: 20.60
data_KYW4
_chemical_formula_sum 'K4 Y4 W16'
_cell_length_a 7.9072
_cell_length_b 7.9072
_cell_length_c 7.9072
_cell_angle_alpha 90.00
_cell_angle_beta 90.00
_cell_angle_gamma 90.00
_space_group_name_H-M_alt 'F -4 3 m'
_space_group_IT_number 216
_space_group_name_Hall 'F -4 2 3'
loop_
_atom_site_label
_atom_site_type_symbol
_atom_site_fract_x
_atom_site_fract_y
_atom_site_fract_z
K1 K 0.0000 0.0000 0.0000
Y1 Y 0.2500 0.2500 0.2500
W1 W 0.1257 0.1257 0.6257

Record 10
# NbAl (PBE-GGA, relaxed)
# Energy of formation, eV per atom: -0.31
# Spin magnetization, μB/atom: 0.000
# Volume, Å³ per atom: 16.88
data_NbAl
_chemical_formula_sum 'Nb2 Al2'
_cell_length_a 3.7011
_cell_length_b 4.2680
_cell_length_c 4.2737
_cell_angle_alpha 90.00
_cell_angle_beta 90.00
_cell_angle_gamma 90.00
_space_group_name_H-M_alt 'C m m m'
_space_group_IT_number 65
_space_group_name_Hall '-C 2 2'
loop_
_atom_site_label
_atom_site_type_symbol
_atom_site_fract_x
_atom_site_fract_y
_atom_site_fract_z
Nb1 Nb 0.0000 0.0000 0.0000
Al1 Al 0.0000 0.5000 0.5000

Record 11
# AlOF3 (PBE-GGA, relaxed)
# Spin magnetization, μB/atom: 0.141
# Volume, Å³ per atom: 15.76
data_AlOF3
_chemical_formula_sum 'Al8 O8 F24'
_cell_length_a 8.6473
_cell_length_b 14.7828
_cell_length_c 5.0025
_cell_angle_alpha 90.00
_cell_angle_beta 99.72
_cell_angle_gamma 90.00
_space_group_name_H-M_alt 'C 1 2/c 1'
_space_group_IT_number 15
loop_
_space_group_symop_operation_xyz
'x,y,z'
'-x,-y,-z'
'-x,y,-z+1/2'
'x,-y,z+1/2'
'x+1/2,y+1/2,z'
'-x+1/2,-y+1/2,-z'
'-x+1/2,y+1/2,-z+1/2'
'x+1/2,-y+1/2,z+1/2'
loop_
_atom_site_label
_atom_site_type_symbol
_atom_site_fract_x
_atom_site_fract_y
_atom_site_fract_z
Al1 Al 0.0000 0.1684 0.2500
Al2 Al 0.0000 0.1678 0.7500
O1 O 0.0722 0.5000 0.0210
F1 F 0.0766 0.2492 0.0218
F2 F 0.0832 0.0895 0.0247
F3 F 0.1598 0.1661 0.5464

Record 12
# BaRuN2 (PBE-GGA, relaxed)
# Spin magnetization, μB/atom: 0.000
# Volume, Å³ per atom: 14.31
data_BaRuN2
_chemical_formula_sum 'Ba4 Ru4 N8'
_cell_length_a 6.1171
_cell_length_b 6.1171
_cell_length_c 6.1171
_cell_angle_alpha 90.00
_cell_angle_beta 90.00
_cell_angle_gamma 90.00
_space_group_name_H-M_alt 'F m -3 m'
_space_group_IT_number 225
_space_group_name_Hall '-F 4 2 3'
loop_
_atom_site_label
_atom_site_type_symbol
_atom_site_fract_x
_atom_site_fract_y
_atom_site_fract_z
Ba1 Ba 0.0000 0.0000 0.0000
Ru1 Ru 0.0000 0.0000 0.5000
N1 N 0.2500 0.2500 0.2500

Number 1: VASP energy -4.535 eV per atom. Number 2: VASP energy -5.277 eV per atom. Number 3: VASP energy -4.598 eV per atom. Number 4: VASP energy -2.708 eV per atom. Number 5: VASP energy -4.899 eV per atom. Number 6: VASP energy -9.341 eV per atom. Number 7: VASP energy -6.342 eV per atom. Number 8: VASP energy -5.218 eV per atom. Number 9: VASP energy -8.941 eV per atom. Number 10: VASP energy -7.218 eV per atom. Number 11: VASP energy -5.483 eV per atom. Number 12: VASP energy -5.729 eV per atom.